1.
Compound: La2SmSn3Pd6
Source: Alexandria via LeMat-Bulk
Functional: PBE
Structure: optimized geometry

Cell: 4.1195 4.1195 17.9830 Å, 90.00 90.00 90.00°
Space group P4/mmm (No. 123)
One atom of each set of equivalent atoms:
1 La 0.0000 0.0000 0.1826 (multiplicity 2)
2 Sm 0.0000 0.0000 0.5000 (multiplicity 1)
3 Sn 0.5000 0.5000 0.0000 (multiplicity 1)
4 Sn 0.5000 0.5000 0.2913 (multiplicity 2)
5 Pd 0.0000 0.5000 0.3838 (multiplicity 4)
6 Pd 0.5000 0.5000 0.1419 (multiplicity 2)

Values from the calculation:
* E_tot: -64.31 eV/cell
* V: 305.2 Å³ per cell

***

2.
Compound: Ta4AgP
Source: Alexandria via LeMat-Bulk
Functional: PBE
Structure: optimized geometry

Cell: 7.7045 7.7045 7.7045 Å, 90.00 90.00 90.00°
Space group F-43m (No. 216)
One atom of each set of equivalent atoms:
1 Ta 0.1243 0.1243 0.3757 (multiplicity 16)
2 Ag 0.2500 0.2500 0.7500 (multiplicity 4)
3 P 0.0000 0.0000 0.0000 (multiplicity 4)

Values from the calculation:
* E_tot: -204.81 eV/cell
* V: 457.3 Å³ per cell

***

3.
Compound: Li2Hf2AlSe6
Source: Alexandria via LeMat-Bulk
Functional: PBE
Structure: optimized geometry

Cell: 6.5636 11.4249 6.8249 Å, 90.00 108.66 90.00°
Space group C2/m (No. 12)
One atom of each set of equivalent atoms:
1 Li 0.0000 0.1696 0.0000 (multiplicity 4)
2 Hf 0.0000 0.3319 0.5000 (multiplicity 4)
3 Al 0.0000 0.0000 0.5000 (multiplicity 2)
4 Se 0.2422 0.0000 0.2696 (multiplicity 4)
5 Se 0.2420 0.1623 0.7369 (multiplicity 8)

Values from the calculation:
* E_tot: -122.93 eV/cell
* V: 484.9 Å³ per cell

***

4.
Compound: KErCd
Source: Alexandria via LeMat-Bulk
Functional: PBE
Structure: optimized geometry

Cell: 17.8475 3.6985 6.3862 Å, 90.00 90.00 90.00°
Space group Amm2 (No. 38)
One atom of each set of equivalent atoms:
1 K 0.1677 0.0000 0.0000 (multiplicity 4)
2 Er 0.3671 0.0000 0.3453 (multiplicity 4)
3 Cd 0.0000 0.0000 0.3318 (multiplicity 2)
4 Cd 0.5000 0.0000 0.0114 (multiplicity 2)

Values from the calculation:
* E_tot: -24.00 eV/cell
* V: 421.5 Å³ per cell

***

5.
Compound: HfUOsRu
Source: Alexandria via LeMat-Bulk
Functional: PBE
Structure: optimized geometry

Cell: 6.6548 6.6548 6.6548 Å, 90.00 90.00 90.00°
Space group F-43m (No. 216)
One atom of each set of equivalent atoms:
1 Hf 0.0000 0.0000 0.0000 (multiplicity 4)
2 U 0.0000 0.0000 0.5000 (multiplicity 4)
3 Os 0.2500 0.2500 0.2500 (multiplicity 4)
4 Ru 0.2500 0.2500 0.7500 (multiplicity 4)

Values from the calculation:
* E_tot: -171.59 eV/cell
* V: 294.7 Å³ per cell

***

6.
Compound: NpCuTe2O8
Source: Alexandria via LeMat-Bulk
Functional: PBE
Structure: optimized geometry

Cell: 5.2901 5.4971 7.2951 Å, 76.16 78.41 78.67°
Space group P-1 (No. 2)
One atom of each set of equivalent atoms:
1 Np 0.0000 0.0000 0.0000 (multiplicity 1)
2 Cu 0.0000 0.0000 0.5000 (multiplicity 1)
3 Te 0.4675 0.5167 0.7422 (multiplicity 2)
4 O 0.1165 0.0219 0.2243 (multiplicity 2)
5 O 0.2104 0.3006 0.8252 (multiplicity 2)
6 O 0.3097 0.7347 0.5367 (multiplicity 2)
7 O 0.3338 0.7230 0.9354 (multiplicity 2)

Values from the calculation:
* E_tot: -80.98 eV/cell
* V: 199.3 Å³ per cell

***

7.
Compound: Ti2NbPd5
Source: Alexandria via LeMat-Bulk
Functional: PBE
Structure: optimized geometry

Cell: 5.6610 11.3468 3.9077 Å, 90.00 90.00 90.00°
Space group Pbam (No. 55)
One atom of each set of equivalent atoms:
1 Ti 0.2335 0.1317 0.0000 (multiplicity 4)
2 Nb 0.0000 0.5000 0.5000 (multiplicity 2)
3 Pd 0.0000 0.0000 0.5000 (multiplicity 2)
4 Pd 0.0051 0.7486 0.5000 (multiplicity 4)
5 Pd 0.2447 0.3778 0.0000 (multiplicity 4)

Values from the calculation:
* E_tot: -111.48 eV/cell
* V: 251.0 Å³ per cell

***

8.
Compound: RbLaCuCl6
Source: Alexandria via LeMat-Bulk
Functional: PBE
Structure: optimized geometry

Cell: 6.7029 6.7033 7.4093 Å, 93.87 93.78 112.68°
Space group P1 (No. 1)
One atom of each set of equivalent atoms:
1 Rb 0.0000 0.0000 0.0000 (multiplicity 1)
2 La 0.3435 0.6551 0.5000 (multiplicity 1)
3 Cu 0.6984 0.2982 0.5009 (multiplicity 1)
4 Cl 0.0145 0.3264 0.6649 (multiplicity 1)
5 Cl 0.0278 0.5933 0.2323 (multiplicity 1)
6 Cl 0.4071 0.9735 0.7666 (multiplicity 1)
7 Cl 0.4296 0.3188 0.3028 (multiplicity 1)
8 Cl 0.6731 0.9838 0.3355 (multiplicity 1)
9 Cl 0.6789 0.5691 0.6981 (multiplicity 1)

Values from the calculation:
* E_tot: -35.89 eV/cell
* V: 304.9 Å³ per cell

***

9.
Compound: Be16Nb2Ir
Source: Alexandria via LeMat-Bulk
Functional: PBE
Structure: optimized geometry

Cell: 7.5140 7.5140 10.9079 Å, 90.00 90.00 120.00°
Space group R3m (No. 160, hexagonal axes)
One atom of each set of equivalent atoms:
1 Be 0.0000 0.0000 0.1122 (multiplicity 3)
2 Be 0.9998 0.2924 0.0000 (multiplicity 18)
3 Be 0.0073 0.5036 0.1575 (multiplicity 9)
4 Be 0.1685 0.3371 0.8361 (multiplicity 9)
5 Be 0.1699 0.3398 0.1807 (multiplicity 9)
6 Nb 0.0000 0.0000 0.3432 (multiplicity 3)
7 Nb 0.0000 0.0000 0.6580 (multiplicity 3)
8 Ir 0.0000 0.0000 0.9065 (multiplicity 3)

Values from the calculation:
* E_tot: -281.45 eV/cell
* V: 533.4 Å³ per cell

***

10.
Compound: TlSbF4
Source: Alexandria via LeMat-Bulk
Functional: PBE
Structure: optimized geometry

Cell: 4.1366 4.1366 22.2314 Å, 90.00 90.00 120.00°
Space group R-3m (No. 166, hexagonal axes)
One atom of each set of equivalent atoms:
1 Tl 0.0000 0.0000 0.0000 (multiplicity 3)
2 Sb 0.0000 0.0000 0.5000 (multiplicity 3)
3 F 0.0000 0.0000 0.1477 (multiplicity 6)
4 F 0.0000 0.0000 0.4021 (multiplicity 6)

Values from the calculation:
* E_tot: -80.08 eV/cell
* V: 329.3 Å³ per cell

***

11.
Compound: Mn2InCo
Source: Alexandria via LeMat-Bulk
Functional: PBE
Structure: optimized geometry

Cell: 2.9234 2.9234 25.1724 Å, 90.00 90.00 120.00°
Space group R-3m (No. 166, hexagonal axes)
One atom of each set of equivalent atoms:
1 Mn 0.0000 0.0000 0.2397 (multiplicity 6)
2 In 0.0000 0.0000 0.0000 (multiplicity 3)
3 Co 0.0000 0.0000 0.5000 (multiplicity 3)

Values from the calculation:
* E_tot: -80.31 eV/cell
* V: 186.3 Å³ per cell

***

12.
Compound: NaGd2Al
Source: Alexandria via LeMat-Bulk
Functional: PBE
Structure: optimized geometry

Cell: 3.5305 3.5305 34.7716 Å, 90.00 90.00 120.00°
Space group R-3m (No. 166, hexagonal axes)
One atom of each set of equivalent atoms:
1 Na 0.0000 0.0000 0.0000 (multiplicity 3)
2 Gd 0.0000 0.0000 0.1020 (multiplicity 6)
3 Al 0.0000 0.0000 0.5000 (multiplicity 3)

Values from the calculation:
* E_tot: -98.90 eV/cell
* V: 375.3 Å³ per cell

***

13.
Compound: CaEuErAl
Source: Alexandria via LeMat-Bulk
Functional: PBE
Structure: optimized geometry

Cell: 7.7645 7.7645 7.7645 Å, 90.00 90.00 90.00°
Space group F-43m (No. 216)
One atom of each set of equivalent atoms:
1 Ca 0.0000 0.0000 0.0000 (multiplicity 4)
2 Eu 0.2500 0.2500 0.7500 (multiplicity 4)
3 Er 0.2500 0.2500 0.2500 (multiplicity 4)
4 Al 0.0000 0.0000 0.5000 (multiplicity 4)

Values from the calculation:
* E_tot: -82.60 eV/cell
* V: 468.1 Å³ per cell

***

14.
Compound: Ba2PdRhPb6
Source: Alexandria via LeMat-Bulk
Functional: PBE
Structure: optimized geometry

Cell: 10.9329 10.9575 7.7300 Å, 90.00 134.92 90.00°
Space group C2/m (No. 12)
One atom of each set of equivalent atoms:
1 Ba 0.0000 0.2501 0.0000 (multiplicity 4)
2 Pd 0.0000 0.0000 0.5000 (multiplicity 2)
3 Rh 0.0000 0.5000 0.5000 (multiplicity 2)
4 Pb 0.0000 0.2517 0.5000 (multiplicity 4)
5 Pb 0.2483 0.5000 0.9966 (multiplicity 4)
6 Pb 0.2486 0.5000 0.5002 (multiplicity 4)

Values from the calculation:
* E_tot: -80.85 eV/cell
* V: 655.7 Å³ per cell

***

15.
Compound: MnSiPH
Source: Alexandria via LeMat-Bulk
Functional: PBE
Structure: optimized geometry

Cell: 2.7777 3.3769 10.3007 Å, 90.00 90.00 90.00°
Space group Amm2 (No. 38)
One atom of each set of equivalent atoms:
1 Mn 0.0000 0.0000 0.0000 (multiplicity 2)
2 Si 0.5000 0.0000 0.1818 (multiplicity 2)
3 P 0.5000 0.0000 0.8303 (multiplicity 2)
4 H 0.0000 0.0000 0.5282 (multiplicity 2)

Values from the calculation:
* E_tot: -47.42 eV/cell
* V: 96.6 Å³ per cell

***

16.
Compound: NaIn3Bi
Source: Alexandria via LeMat-Bulk
Functional: PBE
Structure: optimized geometry

Cell: 6.8135 6.5832 7.4028 Å, 90.00 105.30 90.00°
Space group Cm (No. 8)
One atom of each set of equivalent atoms:
1 Na 0.0000 0.0000 0.0000 (multiplicity 2)
2 In 0.2969 0.0000 0.7160 (multiplicity 2)
3 In 0.4388 0.2624 0.4387 (multiplicity 4)
4 Bi 0.0644 0.5000 0.1342 (multiplicity 2)

Values from the calculation:
* E_tot: -27.34 eV/cell
* V: 320.3 Å³ per cell

***

17.
Compound: Ga3NiTe
Source: Alexandria via LeMat-Bulk
Functional: PBE
Structure: optimized geometry

Cell: 5.4424 5.4424 5.4424 Å, 90.00 90.00 90.00°
Space group Pm-3m (No. 221)
One atom of each set of equivalent atoms:
1 Ga 0.0000 0.0000 0.5000 (multiplicity 3)
2 Ni 0.5000 0.5000 0.5000 (multiplicity 1)
3 Te 0.0000 0.0000 0.0000 (multiplicity 1)

Values from the calculation:
* E_tot: -12.33 eV/cell
* V: 161.2 Å³ per cell

***

18.
Compound: EuScCuPd
Source: Alexandria via LeMat-Bulk
Functional: PBE
Structure: optimized geometry

Cell: 6.9226 6.9226 6.9226 Å, 90.00 90.00 90.00°
Space group F-43m (No. 216)
One atom of each set of equivalent atoms:
1 Eu 0.0000 0.0000 0.0000 (multiplicity 4)
2 Sc 0.0000 0.0000 0.5000 (multiplicity 4)
3 Cu 0.2500 0.2500 0.7500 (multiplicity 4)
4 Pd 0.2500 0.2500 0.2500 (multiplicity 4)

Values from the calculation:
* E_tot: -109.39 eV/cell
* V: 331.7 Å³ per cell

***

19.
Compound: Mn3CdPd12
Source: Alexandria via LeMat-Bulk
Functional: PBE
Structure: optimized geometry

Cell: 3.9495 3.9495 15.8077 Å, 90.00 90.00 90.00°
Space group P4/mmm (No. 123)
One atom of each set of equivalent atoms:
1 Mn 0.0000 0.0000 0.0000 (multiplicity 1)
2 Mn 0.0000 0.0000 0.2465 (multiplicity 2)
3 Cd 0.0000 0.0000 0.5000 (multiplicity 1)
4 Pd 0.0000 0.5000 0.1228 (multiplicity 4)
5 Pd 0.0000 0.5000 0.3677 (multiplicity 4)
6 Pd 0.5000 0.5000 0.0000 (multiplicity 1)
7 Pd 0.5000 0.5000 0.2452 (multiplicity 2)
8 Pd 0.5000 0.5000 0.5000 (multiplicity 1)

Values from the calculation:
* E_tot: -94.36 eV/cell
* V: 246.6 Å³ per cell

***

20.
Compound: Nd3Sm8Y2
Source: Alexandria via LeMat-Bulk
Functional: PBE
Structure: optimized geometry

Cell: 13.2487 11.8263 6.2300 Å, 90.00 113.67 90.00°
Space group C2/m (No. 12)
One atom of each set of equivalent atoms:
1 Nd 0.0000 0.0000 0.0000 (multiplicity 2)
2 Nd 0.0000 0.2415 0.5000 (multiplicity 4)
3 Sm 0.0551 0.5000 0.2826 (multiplicity 4)
4 Sm 0.1562 0.0000 0.5491 (multiplicity 4)
5 Sm 0.1728 0.2574 0.1742 (multiplicity 8)
6 Y 0.2123 0.5000 0.8553 (multiplicity 4)

Values from the calculation:
* E_tot: -125.83 eV/cell
* V: 894.0 Å³ per cell